1.
Crystalline BaNaSr2Si at its relaxed geometry. Source: Alexandria, functional PBE-GGA.

Lattice parameters (Å, degrees): 6.1822 6.1822 6.5709 90.00 90.00 90.00
Positions (direct):
1 Ba 0.0000 0.0000 0.0000
2 Na 0.5000 0.5000 0.0000
3 Sr 0.0000 0.5000 0.5000
4 Sr 0.5000 0.0000 0.5000
5 Si 0.0000 0.0000 0.5000

Calculated values
**Raw formation energy**: -0.10 eV per atom
**Energy above the most stable polymorph in this dataset**: 0.0 meV per atom

2.
Crystalline BaNaTaSi2 at its relaxed geometry. Source: Alexandria, functional PBE-GGA.

Lattice parameters (Å, degrees): 5.0653 5.0653 5.7838 90.00 90.00 90.00
Positions (direct):
1 Ba 0.0000 0.0000 0.0000
2 Na 0.5000 0.5000 0.0000
3 Ta 0.0000 0.0000 0.5000
4 Si 0.0000 0.5000 0.5000
5 Si 0.5000 0.0000 0.5000

Calculated values
**Raw formation energy**: 0.48 eV per atom

3.
Crystalline BaNaSi2Tc at its relaxed geometry. Source: Alexandria, functional PBE-GGA.

Lattice parameters (Å, degrees): 4.7138 4.7138 5.4155 90.00 90.00 90.00
Positions (direct):
1 Ba 0.0000 0.0000 0.0000
2 Na 0.5000 0.5000 0.0000
3 Si 0.0000 0.5000 0.5000
4 Si 0.5000 0.0000 0.5000
5 Tc 0.5000 0.5000 0.5000

Calculated values
**Raw formation energy**: -0.06 eV per atom

4.
Crystalline BaNaZn2Si at its relaxed geometry. Source: Alexandria, functional PBE-GGA.

Lattice parameters (Å, degrees): 6.1856 6.1856 5.8195 90.00 90.00 90.00
Positions (direct):
1 Ba 0.0000 0.0000 0.0000
2 Na 0.5000 0.5000 0.5000
3 Zn 0.0000 0.5000 0.0000
4 Zn 0.5000 0.0000 0.0000
5 Si 0.0000 0.0000 0.5000

Calculated values
**Raw formation energy**: 0.80 eV per atom

5.
Crystalline BaNa4Sm at its relaxed geometry. Source: Alexandria, functional PBE-GGA.

Lattice parameters (Å, degrees): 6.9113 6.9113 6.9113 60.00 60.00 60.00
Positions (direct):
1 Ba 0.0000 0.0000 0.0000
2 Na 0.3760 0.3760 0.3760
3 Na 0.3760 0.3760 0.8719
4 Na 0.3760 0.8719 0.3760
5 Na 0.8719 0.3760 0.3760
6 Sm 0.7500 0.7500 0.7500

Calculated values
**Formation energy**: 188.9 meV per atom

6.
Crystalline BaNa2Sm at its relaxed geometry. Source: Alexandria, functional PBE-GGA.

Lattice parameters (Å, degrees): 14.0435 14.0435 14.0435 15.13 15.13 15.13
Positions (direct):
1 Ba 0.0000 0.0000 0.0000
2 Na 0.4159 0.4159 0.4159
3 Na 0.5841 0.5841 0.5841
4 Sm 0.5000 0.5000 0.5000

Calculated values
**Formation energy**: 323.7 meV per atom

7.
Crystalline BaNaSm at its relaxed geometry. Source: Alexandria, functional PBE-GGA.

Lattice parameters (Å, degrees): 4.2572 4.2572 14.4101 90.00 90.00 90.00
Positions (direct):
1 Ba 0.2500 0.2500 0.2454
2 Ba 0.7500 0.7500 0.7546
3 Na 0.2500 0.2500 0.5644
4 Na 0.7500 0.7500 0.4356
5 Sm 0.2500 0.2500 0.9391
6 Sm 0.7500 0.7500 0.0609

Calculated values
**Formation energy**: 96.0 meV per atom

8.
Crystalline Ba2NaSm at its relaxed geometry. Source: Alexandria, functional PBE-GGA.

Lattice parameters (Å, degrees): 14.3376 14.3376 14.3376 15.53 15.53 15.53
Positions (direct):
1 Ba 0.0856 0.0856 0.0856
2 Ba 0.9144 0.9144 0.9144
3 Na 0.5000 0.5000 0.5000
4 Sm 0.0000 0.0000 0.0000

Calculated values
**Energy above the most stable polymorph in this dataset**: 165.3 meV per atom
**Formation energy**: 320.3 meV per atom

9.
Crystalline Ba2NaSm at its relaxed geometry. Source: Alexandria, functional PBE-GGA.

Lattice parameters (Å, degrees): 6.6627 6.6627 4.2236 90.00 90.00 90.00
Positions (direct):
1 Ba 0.0000 0.5000 0.0000
2 Ba 0.5000 0.0000 0.0000
3 Na 0.0000 0.0000 0.5000
4 Sm 0.5000 0.5000 0.5000

Calculated values
**Energy above the most stable polymorph in this dataset**: 31.2 meV per atom
**Formation energy**: 186.3 meV per atom

10.
Crystalline Ba2NaSm at its relaxed geometry. Source: Alexandria, functional PBE-GGA.

Lattice parameters (Å, degrees): 4.0687 4.0687 11.5282 90.00 90.00 90.00
Positions (direct):
1 Ba 0.0000 0.0000 0.2450
2 Ba 0.0000 0.0000 0.7550
3 Na 0.5000 0.5000 0.5000
4 Sm 0.5000 0.5000 0.0000

Calculated values
**Energy above the most stable polymorph in this dataset**: 0.0 meV per atom
**Formation energy**: 155.1 meV per atom

11.
Crystalline BaNaSmTe3 at its relaxed geometry. Source: Alexandria, functional PBE-GGA.

Lattice parameters (Å, degrees): 9.4467 4.6934 10.3215 90.00 105.73 90.00
Positions (direct):
1 Ba 0.2090 0.2500 0.2442
2 Ba 0.7910 0.7500 0.7558
3 Na 0.0892 0.2500 0.5868
4 Na 0.9108 0.7500 0.4132
5 Sm 0.3240 0.7500 0.8432
6 Sm 0.6760 0.2500 0.1568
7 Te 0.1046 0.2500 0.8778
8 Te 0.2549 0.7500 0.5214
9 Te 0.4502 0.7500 0.1592
10 Te 0.5498 0.2500 0.8408
11 Te 0.7451 0.2500 0.4786
12 Te 0.8954 0.7500 0.1222

Calculated values
**Raw formation energy**: -1.38 eV per atom

12.
Crystalline Ba4NaSm3Te8 at its relaxed geometry. Source: Alexandria, functional PBE-GGA.

Lattice parameters (Å, degrees): 9.4995 9.4995 9.4995 59.26 59.26 59.26
Positions (direct):
1 Ba 0.0000 0.0000 0.0000
2 Ba 0.0000 0.5000 0.5000
3 Ba 0.5000 0.0000 0.5000
4 Ba 0.5000 0.5000 0.0000
5 Na 0.5000 0.5000 0.5000
6 Sm 0.0000 0.0000 0.5000
7 Sm 0.0000 0.5000 0.0000
8 Sm 0.5000 0.0000 0.0000
9 Te 0.2349 0.7429 0.7429
10 Te 0.2404 0.2404 0.2404
11 Te 0.2571 0.2571 0.7651
12 Te 0.2571 0.7651 0.2571
13 Te 0.7429 0.2349 0.7429
14 Te 0.7429 0.7429 0.2349
15 Te 0.7596 0.7596 0.7596
16 Te 0.7651 0.2571 0.2571

Calculated values
**Raw formation energy**: -1.55 eV per atom

13.
Crystalline BaNaSmTl at its relaxed geometry. Source: Alexandria, functional PBE-GGA.

Lattice parameters (Å, degrees): 5.8422 5.8422 5.8422 60.00 60.00 60.00
Positions (direct):
1 Ba 0.0000 0.0000 0.0000
2 Na 0.7500 0.7500 0.7500
3 Sm 0.5000 0.5000 0.5000
4 Tl 0.2500 0.2500 0.2500

Calculated values
**Formation energy**: -46.0 meV per atom

14.
Crystalline BaNa2Sn6 at its relaxed geometry. Source: Alexandria, functional PBE-GGA.

Lattice parameters (Å, degrees): 9.3875 9.3875 3.4505 90.00 90.00 120.00
Positions (direct):
1 Ba 0.0000 0.0000 0.0000
2 Na 0.3333 0.6667 0.0000
3 Na 0.6667 0.3333 0.0000
4 Sn 0.0000 0.3421 0.5000
5 Sn 0.0000 0.6579 0.5000
6 Sn 0.3421 0.0000 0.5000
7 Sn 0.3421 0.3421 0.5000
8 Sn 0.6579 0.0000 0.5000
9 Sn 0.6579 0.6579 0.5000

Calculated values
**Energy above the most stable polymorph in this dataset**: 20.7 meV per atom
**Formation energy**: -216.4 meV per atom

15.
Crystalline BaNaSn2 at its relaxed geometry. Source: Alexandria, functional PBE-GGA.

Lattice parameters (Å, degrees): 6.7250 6.7250 6.7250 45.36 45.36 45.36
Positions (direct):
1 Ba 0.0000 0.0000 0.0000
2 Na 0.5000 0.5000 0.5000
3 Sn 0.2067 0.2067 0.2067
4 Sn 0.7933 0.7933 0.7933

Calculated values
**Formation energy**: -348.3 meV per atom

16.
Crystalline BaNaSn at its relaxed geometry. Source: Alexandria, functional PBE-GGA.

Lattice parameters (Å, degrees): 6.8283 6.8283 6.8283 131.83 107.00 92.33
Positions (direct):
1 Ba 0.0000 0.0000 0.0000
2 Ba 0.5559 0.0559 0.5000
3 Na 0.1479 0.3657 0.7821
4 Na 0.5836 0.3657 0.2179
5 Sn 0.0036 0.6987 0.3048
6 Sn 0.3939 0.6987 0.6952

Calculated values
**Energy above the most stable polymorph in this dataset**: 0.0 meV per atom
**Formation energy**: -428.4 meV per atom

17.
Crystalline Ba3Na5Sn2 at its relaxed geometry. Source: Alexandria, functional PBE-GGA.

Lattice parameters (Å, degrees): 11.2091 11.2091 11.2091 99.85 91.86 142.79
Positions (direct):
1 Ba 0.2339 0.1379 0.3718
2 Ba 0.2500 0.2500 0.0000
3 Ba 0.2661 0.6379 0.9040
4 Ba 0.7339 0.3621 0.0960
5 Ba 0.7500 0.7500 0.0000
6 Ba 0.7661 0.8621 0.6282
7 Na 0.1598 0.3930 0.5529
8 Na 0.2500 0.5068 0.2568
9 Na 0.2500 0.7500 0.5000
10 Na 0.2500 0.9932 0.7432
11 Na 0.3402 0.8930 0.2332
12 Na 0.6598 0.1070 0.7668
13 Na 0.7500 0.0068 0.2568
14 Na 0.7500 0.2500 0.5000
15 Na 0.7500 0.4932 0.7432
16 Na 0.8402 0.6070 0.4471
17 Sn 0.1446 0.8530 0.9976
18 Sn 0.3554 0.3530 0.7085
19 Sn 0.6446 0.6470 0.2915
20 Sn 0.8554 0.1470 0.0024

Calculated values
**Formation energy**: -227.1 meV per atom

18.
Crystalline BaNaSn at its relaxed geometry. Source: Alexandria, functional PBE-GGA.

Lattice parameters (Å, degrees): 5.5836 5.5836 7.9829 90.00 90.00 120.00
Positions (direct):
1 Ba 0.0000 0.0000 0.0000
2 Ba 0.0000 0.0000 0.5000
3 Na 0.6667 0.3333 0.2373
4 Na 0.6667 0.3333 0.7627
5 Sn 0.3333 0.6667 0.2110
6 Sn 0.3333 0.6667 0.7890

Calculated values
**Energy above the most stable polymorph in this dataset**: 19.1 meV per atom
**Formation energy**: -409.4 meV per atom

19.
Crystalline BaNaSn at its relaxed geometry. Source: Alexandria, functional PBE-GGA.

Lattice parameters (Å, degrees): 8.6473 8.6473 8.6473 38.91 38.91 38.91
Positions (direct):
1 Ba 0.0000 0.0000 0.0000
2 Ba 0.4474 0.4474 0.4474
3 Na 0.2076 0.2076 0.2076
4 Na 0.5922 0.5922 0.5922
5 Sn 0.7259 0.7259 0.7259
6 Sn 0.8541 0.8541 0.8541

Calculated values
**Energy above the most stable polymorph in this dataset**: 15.0 meV per atom
**Formation energy**: -413.5 meV per atom

20.
Crystalline BaNaSn at its relaxed geometry. Source: Alexandria, functional PBE-GGA.

Lattice parameters (Å, degrees): 5.5647 5.5647 3.9990 90.00 90.00 120.00
Positions (direct):
1 Ba 0.0000 0.0000 0.0000
2 Na 0.6667 0.3333 0.4988
3 Sn 0.3333 0.6667 0.5006

Calculated values
**Energy above the most stable polymorph in this dataset**: 38.9 meV per atom
**Formation energy**: -389.5 meV per atom